# 1
{
  "formula": "BeCo2As",
  "functional": "PBE",
  "state": "relaxed",
  "final_energy_ev_per_atom": -5.7227,
  "space_group": "No. 123",
  "delta_e_f_ev_per_fu": -0.303,
  "dos_at_fermi_per_ev_cell": 2.02,
  "cell": [[2.855, 0.020, 0.000], [-0.019, 2.855, 0.000], [0.000, 0.000, 5.316]],
  "species": ["Be", "As", "Co", "Co"],
  "frac_coords": [[0.500, 0.500, 0.750], [0.500, 0.500, 0.250], [0.000, 0.000, 0.988], [0.000, 0.000, 0.512]]
}

***

# 2
{
  "formula": "Sm5InSe4",
  "functional": "PBE",
  "state": "relaxed",
  "e_form_raw_ev_per_fu": -15.43,
  "final_energy_ev_per_atom": -5.5700,
  "space_group": "No. 87",
  "dos_at_fermi_per_ev_cell": 4.01,
  "cell": [[5.389, 0.000, 2.599], [2.694, 6.712, 1.300], [-0.222, 0.000, 7.345]],
  "species": ["Sm", "Sm", "Sm", "Sm", "Sm", "In", "Se", "Se", "Se", "Se"],
  "frac_coords": [[0.901, 0.406, 0.794], [0.307, 0.794, 0.594], [0.695, 0.206, 0.406], [0.101, 0.594, 0.206], [0.501, 0.000, 0.000], [0.001, 0.000, 0.000], [0.399, 0.402, 0.802], [0.801, 0.802, 0.598], [0.201, 0.198, 0.402], [0.603, 0.598, 0.198]]
}

***

# 3
{
  "formula": "KTcPt2",
  "functional": "PBE",
  "state": "relaxed",
  "final_energy_ev_per_atom": -5.7622,
  "space_group": "No. 47",
  "delta_e_f_ev_per_fu": 0.496,
  "dos_at_fermi_per_ev_cell": 3.12,
  "cell": [[-1.928, 2.000, 2.376], [-2.296, -0.397, -1.530], [-3.938, -6.934, 2.642]],
  "species": ["K", "Pt", "Pt", "Tc"],
  "frac_coords": [[0.500, 0.750, 0.750], [0.000, 0.926, 0.074], [0.000, 0.574, 0.426], [0.500, 0.250, 0.250]]
}

***

What did the first record say?
{
  "formula": "BeCo2As",
  "functional": "PBE",
  "state": "relaxed",
  "final_energy_ev_per_atom": -5.7227,
  "space_group": "No. 123",
  "delta_e_f_ev_per_fu": -0.303,
  "dos_at_fermi_per_ev_cell": 2.02,
  "cell": [[2.855, 0.020, 0.000], [-0.019, 2.855, 0.000], [0.000, 0.000, 5.316]],
  "species": ["Be", "As", "Co", "Co"],
  "frac_coords": [[0.500, 0.500, 0.750], [0.500, 0.500, 0.250], [0.000, 0.000, 0.988], [0.000, 0.000, 0.512]]
}

***

What did the third record say?
{
  "formula": "KTcPt2",
  "functional": "PBE",
  "state": "relaxed",
  "final_energy_ev_per_atom": -5.7622,
  "space_group": "No. 47",
  "delta_e_f_ev_per_fu": 0.496,
  "dos_at_fermi_per_ev_cell": 3.12,
  "cell": [[-1.928, 2.000, 2.376], [-2.296, -0.397, -1.530], [-3.938, -6.934, 2.642]],
  "species": ["K", "Pt", "Pt", "Tc"],
  "frac_coords": [[0.500, 0.750, 0.750], [0.000, 0.926, 0.074], [0.000, 0.574, 0.426], [0.500, 0.250, 0.250]]
}